Compound: CsDyCuSe3
Source: OQMD
Functional: GGA-PBE
Structure: optimized geometry

The structure in POSCAR format:
```
CsDyCuSe3
1.0
-2.575 -9.141 -2.127
1.302 -1.227 3.696
-7.446 5.280 4.375
Se Cs Dy Cu
6 2 2 2
Direct
0.185 0.750 0.044
0.475 0.750 0.662
0.124 0.250 0.359
0.815 0.250 0.956
0.876 0.750 0.641
0.525 0.250 0.338
0.214 0.250 0.746
0.786 0.750 0.254
0.673 0.250 0.642
0.327 0.750 0.358
0.084 0.250 0.106
0.916 0.750 0.894
```

Values from the calculation:
Space group: P2_1/m (11)
Magnetic moment: 0.002 μB/f.u.
E_tot: -53.59 eV per cell

***

Compound: CsDyCuSe3
Source: OQMD
Functional: GGA-PBE
Structure: optimized geometry

The structure in POSCAR format:
```
CsDyCuSe3
1.0
6.943 1.709 -4.237
-7.533 2.066 2.841
4.504 4.034 9.008
Se Dy Cs Cu
6 2 2 2
Direct
0.054 0.946 0.750
0.946 0.054 0.250
0.383 0.617 0.938
0.617 0.383 0.062
0.617 0.383 0.438
0.383 0.617 0.562
0.000 0.000 0.500
0.000 0.000 0.000
0.258 0.742 0.250
0.742 0.258 0.750
0.535 0.465 0.250
0.465 0.535 0.750
```

Values from the calculation:
Space group: Cmcm (63)
Magnetic moment: 0.156 μB/f.u.
E_tot: -53.62 eV per cell

***

Compound: Cs2Dy4Cu4Se9
Source: OQMD
Functional: GGA-PBE
Structure: optimized geometry

The structure in POSCAR format:
```
Cs2Dy4Cu4Se9
1.0
7.344 -2.071 0.000
7.344 2.071 0.000
-5.333 0.000 15.857
Cu Se Dy Cs
4 9 4 2
Direct
0.073 0.073 0.468
0.252 0.252 0.769
0.748 0.748 0.231
0.927 0.927 0.532
0.640 0.640 0.425
0.894 0.894 0.376
0.208 0.208 0.902
0.159 0.159 0.225
0.500 0.500 0.000
0.106 0.106 0.624
0.360 0.360 0.575
0.841 0.841 0.775
0.792 0.792 0.098
0.270 0.270 0.398
0.730 0.730 0.602
0.847 0.847 0.945
0.153 0.153 0.055
0.531 0.531 0.772
0.469 0.469 0.228
```

Values from the calculation:
Space group: C2/m (12)
Magnetic moment: 0.002 μB/f.u.
E_tot: -90.69 eV per cell

***

Compound: CsDy2CuTeSe3
Source: OQMD
Functional: GGA-PBE
Structure: optimized geometry

The structure in POSCAR format:
```
CsDy2CuTeSe3
1.0
2.127 -7.490 0.000
2.127 7.490 0.000
0.000 0.000 14.577
Cs Cu Se Dy Te
2 2 6 4 2
Direct
0.104 0.896 0.750
0.896 0.104 0.250
0.167 0.833 0.250
0.833 0.167 0.750
0.739 0.261 0.608
0.418 0.582 0.750
0.261 0.739 0.392
0.739 0.261 0.892
0.582 0.418 0.250
0.261 0.739 0.108
0.357 0.643 0.567
0.357 0.643 0.933
0.643 0.357 0.433
0.643 0.357 0.067
0.000 0.000 0.500
0.000 0.000 0.000
```

Values from the calculation:
Space group: Cmcm (63)
Magnetic moment: 0.000 μB/f.u.
E_tot: -77.56 eV per cell

***

Compound: CsDy2Cu3TeSe4
Source: OQMD
Functional: GGA-PBE
Structure: optimized geometry

The structure in POSCAR format:
```
CsDy2Cu3TeSe4
1.0
4.801 -0.029 5.951
-6.554 2.498 -3.046
-8.542 -14.091 6.823
Te Cu Se Dy Cs
2 6 8 4 2
Direct
0.755 0.245 0.750
0.245 0.755 0.250
0.586 0.414 0.531
0.414 0.586 0.031
0.414 0.586 0.469
0.347 0.653 0.750
0.586 0.414 0.969
0.653 0.347 0.250
0.440 0.560 0.891
0.168 0.832 0.929
0.560 0.440 0.109
0.560 0.440 0.391
0.168 0.832 0.571
0.832 0.168 0.071
0.832 0.168 0.429
0.440 0.560 0.609
0.810 0.190 0.915
0.190 0.810 0.085
0.810 0.190 0.585
0.190 0.810 0.415
0.051 0.949 0.750
0.949 0.051 0.250
```

Values from the calculation:
Space group: Cmcm (63)
Magnetic moment: 0.000 μB/f.u.
E_tot: -99.68 eV per cell

***

Compound: CsDy2CuTe3Se
Source: OQMD
Functional: GGA-PBE
Structure: optimized geometry

The structure in POSCAR format:
```
CsDy2CuTe3Se
1.0
-5.069 6.050 1.484
4.826 -3.775 -5.192
-11.642 -8.642 -4.538
Te Cu Dy Cs Se
6 2 4 2 2
Direct
0.764 0.236 0.110
0.500 0.500 0.000
0.236 0.764 0.610
0.500 0.500 0.500
0.764 0.236 0.390
0.236 0.764 0.890
0.663 0.337 0.250
0.337 0.663 0.750
0.133 0.867 0.429
0.133 0.867 0.071
0.867 0.133 0.571
0.867 0.133 0.929
0.598 0.402 0.750
0.402 0.598 0.250
0.080 0.920 0.250
0.920 0.080 0.750
```

Values from the calculation:
Space group: Cmcm (63)
Magnetic moment: 0.000 μB/f.u.
E_tot: -72.86 eV per cell

***

Compound: CsDy2CuTeSe3
Source: OQMD
Functional: GGA-PBE
Structure: optimized geometry

The structure in POSCAR format:
```
CsDy2CuTeSe3
1.0
1.832 0.950 -7.428
-5.395 0.305 5.498
3.528 14.136 2.678
Cs Dy Se Cu Te
2 4 6 2 2
Direct
0.876 0.124 0.750
0.124 0.876 0.250
0.367 0.633 0.445
0.633 0.367 0.555
0.633 0.367 0.945
0.367 0.633 0.055
0.253 0.747 0.604
0.000 0.000 0.500
0.747 0.253 0.396
0.000 0.000 0.000
0.253 0.747 0.896
0.747 0.253 0.104
0.833 0.167 0.250
0.167 0.833 0.750
0.568 0.432 0.750
0.432 0.568 0.250
```

Values from the calculation:
Space group: Cmcm (63)
Magnetic moment: 0.000 μB/f.u.
E_tot: -77.00 eV per cell

***

Compound: CsDyCuTe3
Source: OQMD
Functional: GGA-PBE
Structure: optimized geometry

The structure in POSCAR format:
```
CsDyCuTe3
1.0
10.521 0.000 0.000
0.000 4.272 0.000
-4.672 0.000 9.697
Te Cu Dy Cs
6 2 2 2
Direct
0.694 0.750 0.037
0.306 0.250 0.963
0.019 0.250 0.328
0.981 0.750 0.672
0.387 0.750 0.645
0.613 0.250 0.355
0.584 0.250 0.100
0.416 0.750 0.900
0.821 0.750 0.357
0.179 0.250 0.643
0.278 0.750 0.251
0.722 0.250 0.749
```

Values from the calculation:
Space group: P2_1/m (11)
Magnetic moment: 0.003 μB/f.u.
E_tot: -48.39 eV per cell

***

Compound: CsErCu
Source: OQMD
Functional: GGA-PBE
Structure: optimized geometry

The structure in POSCAR format:
```
CsErCu
1.0
0.000 3.673 3.673
3.673 0.000 3.673
3.673 3.673 0.000
Cs Cu Er
1 1 1
Direct
0.250 0.250 0.250
0.750 0.750 0.750
0.000 0.000 0.000
```

Values from the calculation:
Space group: F-43m (216)
Magnetic moment: 0.044 μB/f.u.
E_tot: -5.88 eV per cell

***

Compound: Cs2Er4Cu4S9
Source: OQMD
Functional: GGA-PBE
Structure: optimized geometry

The structure in POSCAR format:
```
Cs2Er4Cu4S9
1.0
7.002 -1.978 0.000
7.002 1.978 0.000
-5.157 0.000 15.162
Cu S Cs Er
4 9 2 4
Direct
0.930 0.930 0.539
0.749 0.749 0.229
0.251 0.251 0.771
0.070 0.070 0.461
0.211 0.211 0.904
0.108 0.108 0.621
0.892 0.892 0.379
0.643 0.643 0.427
0.163 0.163 0.224
0.837 0.837 0.776
0.357 0.357 0.573
0.500 0.500 0.000
0.789 0.789 0.096
0.529 0.529 0.771
0.471 0.471 0.229
0.269 0.269 0.397
0.731 0.731 0.603
0.847 0.847 0.946
0.153 0.153 0.054
```

Values from the calculation:
Space group: C2/m (12)
Magnetic moment: 0.001 μB/f.u.
E_tot: -98.66 eV per cell

***

Compound: Cs2Er4Cu4Se9
Source: OQMD
Functional: GGA-PBE
Structure: optimized geometry

The structure in POSCAR format:
```
Cs2Er4Cu4Se9
1.0
7.326 -2.060 0.000
7.326 2.060 0.000
-5.319 0.000 15.770
Se Er Cu Cs
9 4 4 2
Direct
0.107 0.107 0.124
0.209 0.209 0.403
0.893 0.893 0.876
0.159 0.159 0.725
0.841 0.841 0.275
0.358 0.358 0.075
0.642 0.642 0.925
0.500 0.500 0.500
0.791 0.791 0.597
0.270 0.270 0.898
0.847 0.847 0.444
0.730 0.730 0.102
0.153 0.153 0.556
0.749 0.749 0.732
0.073 0.073 0.967
0.927 0.927 0.033
0.251 0.251 0.268
0.531 0.531 0.272
0.469 0.469 0.728
```

Values from the calculation:
Space group: C2/m (12)
Magnetic moment: 0.002 μB/f.u.
E_tot: -90.34 eV per cell

***

Compound: CsEr2Cu3Se5
Source: OQMD
Functional: GGA-PBE
Structure: optimized geometry

The structure in POSCAR format:
```
CsEr2Cu3Se5
1.0
-4.111 0.000 0.000
-2.055 7.327 0.000
0.000 0.000 -17.254
Er Se Cu Cs
4 10 6 2
Direct
0.192 0.615 0.409
0.808 0.385 0.591
0.808 0.385 0.909
0.192 0.615 0.091
0.562 0.876 0.112
0.169 0.662 0.930
0.438 0.124 0.612
0.169 0.662 0.570
0.238 0.523 0.250
0.562 0.876 0.388
0.831 0.338 0.070
0.438 0.124 0.888
0.762 0.477 0.750
0.831 0.338 0.430
0.583 0.833 0.532
0.583 0.833 0.968
0.344 0.312 0.750
0.656 0.688 0.250
0.417 0.167 0.032
0.417 0.167 0.468
0.061 0.878 0.750
0.939 0.122 0.250
```

Values from the calculation:
Space group: Cmcm (63)
Magnetic moment: 0.000 μB/f.u.
E_tot: -101.75 eV per cell

***

Number 8 is which compound? CsDyCuTe3

***

Among the records above, which one has the lowest E_tot? CsEr2Cu3Se5

***

Number 5 is which compound? CsDy2Cu3TeSe4

***

Number 7 is which compound? CsDy2CuTeSe3